# K6CdAu4 (PBE, relaxed)
data_K6CdAu4
_chemical_formula_sum 'K12 Cd2 Au8'
_space_group_name_H-M_alt 'P 63 m c'
_space_group_IT_number 186
_space_group_name_Hall 'P 6c -2c'
_cell_length_a 10.9723
_cell_length_b 10.9723
_cell_length_c 7.9763
_cell_angle_alpha 90.00
_cell_angle_beta 90.00
_cell_angle_gamma 120.00
loop_
_atom_site_label
_atom_site_fract_x
_atom_site_fract_y
_atom_site_fract_z
K1 0.0547 0.5274 0.0000
K2 0.1384 0.2768 0.3272
Cd1 0.3333 0.6667 0.6257
Au1 0.1897 0.3795 0.7317
Au2 0.3333 0.6667 0.2727
# Total moment = 0.000 μB/atom
# D(E_F) = 0.7386 states/eV/atom
# E = -2.106 eV/atom

# InSnBrCl4 (PBE, relaxed)
data_InSnBrCl4
_chemical_formula_sum 'In4 Sn4 Br4 Cl16'
_space_group_name_H-M_alt 'C 1 2/m 1'
_space_group_IT_number 12
_space_group_name_Hall '-C 2y'
_cell_length_a 13.274
_cell_length_b 9.407
_cell_length_c 9.491
_cell_angle_alpha 90.00
_cell_angle_beta 111.72
_cell_angle_gamma 90.00
loop_
_atom_site_label
_atom_site_fract_x
_atom_site_fract_y
_atom_site_fract_z
In1 0.140 0.000 0.265
Sn1 0.168 0.500 0.127
Br1 0.016 0.500 0.812
Cl1 0.051 0.000 0.819
Cl2 0.215 0.199 0.172
Cl3 0.219 0.000 0.536
# Total moment = 0.000 μB/atom
# ΔE_f (raw) = -0.955 eV/atom
# D(E_F) = 0.0000 states/eV/atom
# E = -3.212 eV/atom